No. 1
A plane-wave DFT calculation with PBE was carried out for a relaxed CoRuPb2 crystal.

a = 5.6966 Å, b = 5.6966 Å, c = 5.6966 Å
α = 140.03°, β = 140.03°, γ = 57.80°
With the nearest neighbours (Å) after each atom.
Fractional positions:
Co1 0.0000 0.0000 0.0000  4 Pb 2.75
Ru1 0.7500 0.2500 0.5000  4 Pb 2.75
Pb1 0.2500 0.7500 0.5000  4 Ru 2.75
Pb2 0.5000 0.5000 0.0000  4 Co 2.75

VASP energy, hartree per atom: -0.1941
Distance to the lowest polymorph of the same formula, meV/atom: 308

No. 2
A plane-wave DFT calculation with PBE was carried out for a relaxed La3Pr3Y crystal.

a = 9.0434 Å, b = 9.0434 Å, c = 9.0434 Å
α = 59.36°, β = 59.36°, γ = 59.36°
With the nearest neighbours (Å) after each atom.
Fractional positions:
La1 0.0598 0.2998 0.8120  3 Pr 3.32-3.53, 2 La 3.35, 1 Y 3.57
La2 0.1880 0.9402 0.7002  3 Pr 3.32-3.53, 2 La 3.35, 1 Y 3.57
La3 0.2998 0.8120 0.0598  3 Pr 3.32-3.53, 2 La 3.35, 1 Y 3.57
La4 0.7002 0.1880 0.9402  3 Pr 3.32-3.53, 2 La 3.35, 1 Y 3.57
La5 0.8120 0.0598 0.2998  3 Pr 3.32-3.53, 2 La 3.35, 1 Y 3.57
La6 0.9402 0.7002 0.1880  3 Pr 3.32-3.53, 2 La 3.35, 1 Y 3.57
Pr1 0.0681 0.7220 0.5668  3 La 3.32-3.53
Pr2 0.2780 0.4332 0.9319  3 La 3.32-3.53
Pr3 0.4332 0.9319 0.2780  3 La 3.32-3.53
Pr4 0.5668 0.0681 0.7220  3 La 3.32-3.53
Pr5 0.7220 0.5668 0.0681  3 La 3.32-3.53
Pr6 0.9319 0.2780 0.4332  3 La 3.32-3.53
Y1 0.3477 0.3477 0.3477  6 La 3.57-3.82, 6 Pr 3.75-3.84
Y2 0.6523 0.6523 0.6523  6 La 3.57-3.82, 6 Pr 3.75-3.84

VASP energy, hartree per atom: -0.1793
Distance to the lowest polymorph of the same formula, meV/atom: 171

No. 3
A plane-wave DFT calculation with PBE was carried out for a relaxed La2B7Rh12 crystal.

a = 9.0577 Å, b = 9.0577 Å, c = 3.8790 Å
α = 90.00°, β = 90.00°, γ = 120.00°
With the nearest neighbours (Å) after each atom.
Fractional positions:
La1 0.0000 0.0000 0.0000  12 Rh 3.06-3.32, 6 B 3.10
La2 0.3333 0.6667 0.5000  6 B 2.96, 9 Rh 3.00-3.07
B1 0.0838 0.4239 0.0000  4 Rh 2.08-2.26
B2 0.2848 0.2452 0.5000  2 Rh 2.06-2.21
B3 0.3401 0.9162 0.0000  4 Rh 2.08-2.26
B4 0.5761 0.6599 0.0000  4 Rh 2.08-2.26
B5 0.6667 0.3333 0.0000  3 Rh 2.10
B6 0.7548 0.0396 0.5000  2 Rh 2.06-2.21
B7 0.9604 0.7152 0.5000  2 Rh 2.06-2.21
Rh1 0.0641 0.2868 0.5000  3 B 2.21-2.26
Rh2 0.0913 0.6874 0.0000  4 B 2.17-2.35
Rh3 0.2226 0.9359 0.5000  3 B 2.21-2.26
Rh4 0.3126 0.4040 0.0000  4 B 2.17-2.35
Rh5 0.4007 0.1701 0.0000  2 B 2.08-2.10
Rh6 0.5416 0.4187 0.5000  1 B 2.06
Rh7 0.5813 0.1229 0.5000  1 B 2.06
Rh8 0.5960 0.9087 0.0000  4 B 2.17-2.35
Rh9 0.7132 0.7774 0.5000  3 B 2.21-2.26
Rh10 0.7694 0.5993 0.0000  2 B 2.08-2.10
Rh11 0.8299 0.2306 0.0000  2 B 2.08-2.10
Rh12 0.8771 0.4584 0.5000  1 B 2.06

VASP energy, hartree per atom: -0.2689

No. 4
A plane-wave DFT calculation with PBE was carried out for a relaxed KZr2Mo crystal.

a = 11.1141 Å, b = 11.1141 Å, c = 11.1141 Å
α = 17.25°, β = 17.25°, γ = 17.25°
With the nearest neighbours (Å) after each atom.
Fractional positions:
K1 0.0000 0.0000 0.0000  6 K 3.33
Zr1 0.2273 0.2273 0.2273  3 Mo 2.77
Zr2 0.7727 0.7727 0.7727  3 Mo 2.77
Mo1 0.5000 0.5000 0.5000  6 Zr 2.77

VASP energy, hartree per atom: -0.2482
Distance to the lowest polymorph of the same formula, meV/atom: 213

No. 5
A plane-wave DFT calculation with PBE was carried out for a relaxed SrMgScGa crystal.

a = 5.2552 Å, b = 5.2552 Å, c = 5.2552 Å
α = 60.00°, β = 60.00°, γ = 60.00°
With the nearest neighbours (Å) after each atom.
Fractional positions:
Sr1 0.0000 0.0000 0.0000  4 Mg 3.22, 4 Ga 3.22
Mg1 0.2500 0.2500 0.2500  4 Sc 3.22, 4 Sr 3.22
Sc1 0.5000 0.5000 0.5000  4 Ga 3.22, 4 Mg 3.22
Ga1 0.7500 0.7500 0.7500  4 Sc 3.22, 4 Sr 3.22

VASP energy, hartree per atom: -0.1213

No. 6
A plane-wave DFT calculation with PBE was carried out for a relaxed LaTiAs2Br crystal.

a = 4.7877 Å, b = 4.7877 Å, c = 5.9306 Å
α = 90.00°, β = 90.00°, γ = 90.00°
With the nearest neighbours (Å) after each atom.
Fractional positions:
La1 0.0000 0.0000 0.0000  2 Ti 2.97
Ti1 0.0000 0.0000 0.5000  4 As 2.39
As1 0.0000 0.5000 0.5000  2 Ti 2.39
As2 0.5000 0.0000 0.5000  2 Ti 2.39
Br1 0.5000 0.5000 0.0000  4 La 3.39

VASP energy, hartree per atom: -0.1950
Distance to the lowest polymorph of the same formula, meV/atom: 275

No. 7
A plane-wave DFT calculation with PBE was carried out for a relaxed CuI crystal.

a = 7.3003 Å, b = 7.3003 Å, c = 7.3003 Å
α = 35.47°, β = 35.47°, γ = 35.47°
With the nearest neighbours (Å) after each atom.
Fractional positions:
Cu1 0.1234 0.1234 0.1234  4 I 2.53-2.72
Cu2 0.8766 0.8766 0.8766  4 I 2.53-2.72
I1 0.0000 0.0000 0.0000  2 Cu 2.53
I2 0.5000 0.5000 0.5000  6 Cu 2.72

VASP energy, hartree per atom: -0.0997

No. 8
A plane-wave DFT calculation with PBE was carried out for a relaxed Sc3FeAu crystal.

a = 4.7523 Å, b = 4.7523 Å, c = 4.7523 Å
α = 90.00°, β = 90.00°, γ = 90.00°
With the nearest neighbours (Å) after each atom.
Fractional positions:
Sc1 0.0000 0.0000 0.5000  2 Fe 2.38
Sc2 0.0000 0.5000 0.0000  2 Fe 2.38
Sc3 0.5000 0.0000 0.0000  2 Fe 2.38
Fe1 0.0000 0.0000 0.0000  6 Sc 2.38
Au1 0.5000 0.5000 0.5000  12 Sc 3.36

VASP energy, hartree per atom: -0.2300
Distance to the lowest polymorph of the same formula, meV/atom: 0